VASP calculation (PBE-GGA) on a relaxed structure of AgS4.

Cell: 4.795 4.795 4.795 Å, 90.00 90.00 90.00°
Last column: magnetic moment on the atom in μB.
Positions (direct):
S: 0.000 0.000 0.000  0.07
S: 0.500 0.000 0.500  0.15
S: 0.000 0.500 0.500  0.15
S: 0.500 0.500 0.000  0.15
Ag: 0.500 0.500 0.500  0.02

## Properties
- Calculated density: 3.6 g cm⁻³
- Energy relative to the elements, uncorrected: 6.4 eV per formula unit

=====

VASP calculation (PBE-GGA) on a relaxed structure of RbHg2Se2.

Cell: 7.336 7.336 8.851 Å, 114.48 114.48 90.00°
Positions (direct):
Rb: 0.000 0.000 0.000
Rb: 0.250 0.750 0.500
Hg: 0.125 0.375 0.750
Hg: 0.625 0.375 0.250
Hg: 0.625 0.875 0.250
Hg: 0.625 0.375 0.750
Se: 0.752 0.752 0.505
Se: 0.498 0.998 0.995
Se: 0.248 0.248 0.495
Se: 0.002 0.502 0.005

## Properties
- Calculated density: 5.5 g cm⁻³
- Energy relative to the elements, uncorrected: -1.8 eV per formula unit

=====

VASP calculation (PBE-GGA) on a relaxed structure of ScMn2Al.

Cell: 5.000 5.000 5.000 Å, 134.69 134.69 66.01°
Last column: magnetic moment on the atom in μB.
Positions (direct):
Sc: 0.500 0.500 0.000  -0.28
Mn: 0.000 0.000 0.000  2.64
Mn: 0.250 0.750 0.500  2.97
Al: 0.750 0.250 0.500  -0.07

## Properties
- Energy of formation from the pure elements: -86.9 meV per atom
- Calculated density: 4.9 g cm⁻³

=====

VASP calculation (PBE-GGA) on a relaxed structure of MgTl2Te.

Cell: 3.939 3.939 7.643 Å, 90.00 90.00 89.96°
Positions (direct):
Mg: 0.000 0.000 0.544
Te: 0.500 0.500 0.688
Tl: 0.000 0.000 0.000
Tl: 0.500 0.500 0.268

## Properties
- Calculated density: 7.9 g cm⁻³
- Energy relative to the elements, uncorrected: -0.9 eV per formula unit

=====

VASP calculation (PBE-GGA) on a relaxed structure of Nd4Sm2HoTm.

Cell: 5.156 5.130 11.390 Å, 63.22 90.00 90.00°
Positions (direct):
Nd: 0.000 0.752 0.749
Nd: 0.000 0.248 0.251
Nd: 0.500 0.749 0.250
Nd: 0.500 0.251 0.750
Sm: 0.000 0.000 0.000
Sm: 0.500 0.000 0.500
Ho: 0.500 0.500 0.000
Tm: 0.000 0.500 0.500

## Properties
- Energy of formation from the pure elements: 13.1 meV per atom
- Calculated density: 7.5 g cm⁻³

=====

VASP calculation (PBE-GGA) on a relaxed structure of Dy5Si2Sb.

Cell: 7.764 7.764 8.708 Å, 116.47 116.47 90.00°
Last column: magnetic moment on the atom in μB.
Positions (direct):
Dy: 0.519 0.700 0.719  0.21
Dy: 0.800 0.981 0.281  0.21
Dy: 0.000 0.000 0.000  0.30
Dy: 0.500 0.500 0.000  0.30
Dy: 0.200 0.019 0.719  0.21
Dy: 0.700 0.200 0.719  0.21
Dy: 0.019 0.519 0.719  0.21
Dy: 0.300 0.800 0.281  0.21
Dy: 0.981 0.481 0.281  0.21
Dy: 0.481 0.300 0.281  0.21
Si: 0.140 0.360 0.000  -0.01
Si: 0.640 0.140 0.000  -0.01
Si: 0.360 0.860 0.000  -0.01
Si: 0.860 0.640 0.000  -0.01
Sb: 0.750 0.750 0.500  -0.01
Sb: 0.250 0.250 0.500  -0.01

## Properties
- Calculated density: 8.1 g cm⁻³
- Energy relative to the elements, uncorrected: -5.9 eV per formula unit

=====

VASP calculation (PBE-GGA) on a relaxed structure of NaLiIn2Cu.

Cell: 5.005 5.005 4.985 Å, 90.00 90.00 90.00°
Positions (direct):
Na: 0.500 0.500 0.500
Li: 0.000 0.000 0.500
Cu: 0.000 0.000 0.000
In: 0.000 0.500 0.000
In: 0.500 0.000 0.000

## Properties
- Energy of formation from the pure elements: 0.4 meV per atom
- Calculated density: 4.3 g cm⁻³

=====

VASP calculation (PBE-GGA) on a relaxed structure of SmHo4Er6.

Cell: 7.598 7.598 8.406 Å, 116.87 116.87 90.00°
Positions (direct):
Sm: 0.500 0.500 0.000
Ho: 0.089 0.758 0.847
Ho: 0.911 0.911 0.153
Ho: 0.758 0.089 0.847
Ho: 0.242 0.242 0.153
Er: 0.931 0.439 0.370
Er: 0.439 0.931 0.370
Er: 0.561 0.561 0.630
Er: 0.000 0.500 0.000
Er: 0.069 0.069 0.630
Er: 0.500 0.000 0.000

## Properties
- Energy of formation from the pure elements: 457.9 meV per atom
- Calculated density: 8.1 g cm⁻³

=====

VASP calculation (PBE-GGA) on a relaxed structure of TePt2Br.

Cell: 3.539 3.539 7.363 Å, 90.00 90.00 90.00°
Positions (direct):
Te: 0.000 0.000 0.393
Br: 0.500 0.500 0.822
Pt: 0.000 0.000 0.045
Pt: 0.500 0.500 0.240

## Properties
- Calculated density: 10.8 g cm⁻³
- Energy relative to the elements, uncorrected: 0.3 eV per formula unit

=====

VASP calculation (PBE-GGA) on a relaxed structure of KBe2.

Cell: 3.708 3.708 11.092 Å, 89.18 89.18 60.00°
Positions (direct):
K: 0.342 0.342 0.689
K: 0.658 0.658 0.311
Be: 0.667 0.667 0.994
Be: 0.998 0.998 0.086
Be: 0.002 0.002 0.914
Be: 0.333 0.333 0.006

## Properties
- Energy of formation from the pure elements: 431.6 meV per atom
- Calculated density: 1.4 g cm⁻³

=====

VASP calculation (PBE-GGA) on a relaxed structure of LiLa2In6Pd.

Cell: 7.183 7.188 7.155 Å, 59.98 60.01 89.99°
Positions (direct):
Li: 0.500 0.500 0.000
La: 0.247 0.753 0.500
La: 0.753 0.247 0.500
In: 0.259 0.742 0.000
In: 0.739 0.739 0.005
In: 0.260 0.260 0.483
In: 0.741 0.258 0.000
In: 0.261 0.261 0.995
In: 0.740 0.740 0.517
Pd: 0.000 0.000 0.000

## Properties
- Energy of formation from the pure elements: -295.6 meV per atom
- Calculated density: 6.9 g cm⁻³

=====

VASP calculation (PBE-GGA) on a relaxed structure of Be2H2Au.

Cell: 5.643 5.643 2.684 Å, 90.00 90.00 90.00°
Positions (direct):
Be: 0.142 0.642 0.500
Be: 0.642 0.858 0.500
Be: 0.858 0.358 0.500
Be: 0.358 0.142 0.500
Au: 0.000 0.000 0.000
Au: 0.500 0.500 0.000
H: 0.399 0.899 0.000
H: 0.899 0.601 0.000
H: 0.601 0.101 0.000
H: 0.101 0.399 0.000

## Properties
- Calculated density: 8.4 g cm⁻³
- E: -29.7 eV for the cell shown

=====

VASP calculation (PBE-GGA) on a relaxed structure of Ac3Ga8Pt3.

Cell: 4.506 8.524 8.524 Å, 74.74 74.68 74.68°
Positions (direct):
Ac: 0.500 0.500 0.500
Ac: 0.825 0.175 0.175
Ac: 0.175 0.825 0.825
Ga: 0.623 0.098 0.656
Ga: 0.377 0.902 0.344
Ga: 0.623 0.656 0.098
Ga: 0.377 0.344 0.902
Ga: 0.828 0.808 0.537
Ga: 0.172 0.192 0.463
Ga: 0.828 0.537 0.808
Ga: 0.172 0.463 0.192
Pt: 0.500 0.000 0.000
Pt: 0.000 0.766 0.234
Pt: 0.000 0.234 0.766

## Properties
- Energy of formation from the pure elements: -707.0 meV per atom
- Calculated density: 10.2 g cm⁻³

=====

VASP calculation (PBE-GGA) on a relaxed structure of V2AuBr.

Cell: 6.952 6.952 5.958 Å, 54.31 54.31 90.00°
Last column: magnetic moment on the atom in μB.
Positions (direct):
Au: 0.000 0.000 0.000  0.03
Au: 0.750 0.250 0.500  0.03
Br: 0.500 0.500 0.000  -0.02
Br: 0.250 0.750 0.500  -0.02
V: 0.614 0.125 0.250  2.42
V: 0.136 0.625 0.250  2.42
V: 0.375 0.386 0.750  2.42
V: 0.875 0.864 0.750  2.42

## Properties
- Calculated density: 7.7 g cm⁻³
- Energy relative to the elements, uncorrected: 2.3 eV per formula unit

=====

VASP calculation (PBE-GGA) on a relaxed structure of Ac2EuTa.

Cell: 5.686 5.686 5.682 Å, 59.98 59.98 60.00°
Last column: magnetic moment on the atom in μB.
Positions (direct):
Eu: 0.500 0.500 0.500  6.91
Ac: 0.250 0.250 0.250  0.01
Ac: 0.750 0.750 0.750  0.01
Ta: 0.000 0.000 0.000  -0.78

## Properties
- Energy of formation from the pure elements: 538.9 meV per atom
- Calculated density: 10.1 g cm⁻³

=====

VASP calculation (PBE-GGA) on a relaxed structure of CrNiOsI2.

Cell: 5.384 4.699 5.384 Å, 90.00 90.00 90.00°
Last column: magnetic moment on the atom in μB.
Positions (direct):
I: 0.000 0.000 0.500  0.01
I: 0.500 0.000 0.000  0.03
Ni: 0.500 0.500 0.500  0.83
Os: 0.000 0.000 0.000  -0.56
Cr: 0.000 0.500 0.000  3.46

## Properties
- Calculated density: 6.8 g cm⁻³
- Energy relative to the elements, uncorrected: 7.1 eV per formula unit

=====

VASP calculation (PBE-GGA) on a relaxed structure of Ba2SnAu2.

Cell: 6.482 6.482 6.183 Å, 58.39 58.39 90.00°
Positions (direct):
Au: 0.340 0.340 0.321
Au: 0.660 0.660 0.679
Ba: 0.750 0.250 0.500
Ba: 0.250 0.750 0.500
Sn: 0.000 0.000 0.000

## Properties
- Energy of formation from the pure elements: -589.3 meV per atom
- Calculated density: 7.5 g cm⁻³

=====

VASP calculation (PBE-GGA) on a relaxed structure of CsSbCl2.

Cell: 6.210 6.210 9.899 Å, 71.72 71.72 90.00°
Positions (direct):
Cs: 0.000 0.000 0.000
Cs: 0.750 0.250 0.500
Sb: 0.500 0.500 0.000
Sb: 0.250 0.750 0.500
Cl: 0.516 0.125 0.250
Cl: 0.234 0.625 0.250
Cl: 0.375 0.484 0.750
Cl: 0.875 0.766 0.750

## Properties
- Calculated density: 3.2 g cm⁻³
- Energy relative to the elements, uncorrected: -3.1 eV per formula unit

=====

VASP calculation (PBE-GGA) on a relaxed structure of La2SiTc.

Cell: 8.205 8.205 6.495 Å, 50.83 50.83 90.00°
Positions (direct):
Si: 0.500 0.500 0.000
Si: 0.250 0.750 0.500
Tc: 0.000 0.000 0.000
Tc: 0.750 0.250 0.500
La: 0.682 0.125 0.250
La: 0.068 0.625 0.250
La: 0.375 0.318 0.750
La: 0.875 0.932 0.750

## Properties
- Calculated density: 6.8 g cm⁻³
- Energy relative to the elements, uncorrected: 0.7 eV per formula unit

=====

VASP calculation (PBE-GGA) on a relaxed structure of TcHgBO6.

Cell: 6.767 5.204 5.801 Å, 111.46 83.84 75.36°
Positions (direct):
Tc: 0.473 0.204 0.534
Hg: 0.898 0.142 0.953
B: 0.855 0.683 0.444
O: 0.952 0.406 0.273
O: 0.256 0.119 0.622
O: 0.528 0.436 0.800
O: 0.903 0.769 0.674
O: 0.432 0.367 0.326
O: 0.703 0.874 0.374

## Properties
- Calculated density: 3.8 g cm⁻³
- Energy relative to the elements, uncorrected: -12.0 eV per formula unit

=====

VASP calculation (PBE-GGA) on a relaxed structure of Zn6PdAu2.

Cell: 4.318 6.468 7.243 Å, 116.52 110.74 90.00°
Positions (direct):
Zn: 0.166 0.424 0.323
Zn: 0.834 0.101 0.677
Zn: 0.834 0.576 0.677
Zn: 0.500 0.221 0.000
Zn: 0.166 0.899 0.323
Zn: 0.500 0.779 0.000
Pd: 0.000 0.000 0.000
Au: 0.671 0.666 0.333
Au: 0.329 0.334 0.667

## Properties
- Energy of formation from the pure elements: -182.4 meV per atom
- Calculated density: 8.9 g cm⁻³

=====

VASP calculation (PBE-GGA) on a relaxed structure of Pr2Ho6Er3Pb.

Cell: 6.088 6.088 11.743 Å, 94.97 94.97 120.02°
Positions (direct):
Pr: 0.334 0.666 0.000
Pr: 0.666 0.334 0.000
Ho: 0.916 0.589 0.747
Ho: 0.757 0.757 0.254
Ho: 0.084 0.411 0.253
Ho: 0.589 0.916 0.747
Ho: 0.243 0.243 0.746
Ho: 0.411 0.084 0.253
Er: 0.167 0.833 0.500
Er: 0.833 0.167 0.500
Er: 0.500 0.500 0.500
Pb: 0.000 0.000 0.000

## Properties
- Energy of formation from the pure elements: -66.0 meV per atom
- Calculated density: 8.9 g cm⁻³

=====

VASP calculation (PBE-GGA) on a relaxed structure of Tm3Se3Br.

Cell: 8.568 8.568 7.477 Å, 55.04 55.04 60.00°
Positions (direct):
Tm: 0.287 0.560 0.241
Tm: 0.913 0.287 0.241
Tm: 0.560 0.913 0.241
Tm: 0.440 0.087 0.759
Tm: 0.087 0.713 0.759
Tm: 0.713 0.440 0.759
Se: 0.377 0.796 0.736
Se: 0.796 0.091 0.736
Se: 0.091 0.377 0.736
Se: 0.909 0.623 0.264
Se: 0.204 0.909 0.264
Se: 0.623 0.204 0.264
Br: 0.324 0.324 0.028
Br: 0.676 0.676 0.972

## Properties
- Calculated density: 7.7 g cm⁻³
- Energy relative to the elements, uncorrected: -11.1 eV per formula unit

=====

VASP calculation (PBE-GGA) on a relaxed structure of Np2ScPt9.

Cell: 4.103 4.103 12.343 Å, 90.00 90.00 90.00°
Last column: magnetic moment on the atom in μB.
Positions (direct):
Np: 0.000 0.000 0.329  3.20
Np: 0.000 0.000 0.671  3.20
Sc: 0.000 0.000 0.000  0.01
Pt: 0.500 0.500 0.000  -0.06
Pt: 0.500 0.500 0.329  -0.06
Pt: 0.500 0.500 0.671  -0.06
Pt: 0.500 0.000 0.160  -0.04
Pt: 0.500 0.000 0.500  -0.06
Pt: 0.500 0.000 0.840  -0.04
Pt: 0.000 0.500 0.160  -0.04
Pt: 0.000 0.500 0.500  -0.06
Pt: 0.000 0.500 0.840  -0.04

## Properties
- Energy of formation from the pure elements: -755.5 meV per atom
- Calculated density: 18.2 g cm⁻³